No. 1
DFT (PBE-GGA) results for a geometry-optimized Cd6AgHg12 structure.

Computed properties:
Magnetization = 0.00 Bohr magnetons per cell
Offset from the most stable computed form = 0.17 kcal/mol of atoms
Calculated volume = 1446.1 Å³/cell
Energy = -0.5807 eV per atom
Energy relative to the elements = 0.049 eV/atom

a b c (Å): 11.8761 11.8761 11.8391
angles (deg): 90.00 90.00 120.00
Last column: nearest neighbours and their distance in Å.
Space group R-3 (No. 148, hexagonal axes)
Inequivalent atoms, fractional coordinates:
1 Cd 0.0585 0.5778 0.2240 [18 per cell]  1 Ag 2.96, 6 Hg 3.00-3.28, 2 Cd 3.19
2 Ag 0.0000 0.0000 0.5000 [3 per cell]  6 Cd 2.96, 6 Hg 3.23
3 Hg 0.0608 0.8665 0.2892 [18 per cell]  3 Hg 3.04-3.31, 4 Cd 3.11-3.28, 1 Ag 3.23
4 Hg 0.0882 0.8734 0.9089 [18 per cell]  2 Cd 3.00-3.10, 5 Hg 3.04-3.31

***

No. 2
DFT (PBE-GGA) results for a geometry-optimized Fe3Co2Rh2 structure.

Computed properties:
Magnetization = 42.72 Bohr magnetons per cell
Calculated volume = 266.1 Å³/cell
Energy = -7.7614 eV per atom
Energy relative to the elements = -0.004 eV/atom

a b c (Å): 4.1537 4.1537 17.8088
angles (deg): 90.00 90.00 120.00
Last column: nearest neighbours and their distance in Å.
Space group R-3m (No. 166, hexagonal axes)
Inequivalent atoms, fractional coordinates:
1 Fe 0.0000 0.0000 0.0000 [3 per cell]  2 Co 2.47, 6 Rh 2.55
2 Fe 0.0000 0.0000 0.4339 [6 per cell]  1 Fe 2.35, 3 Co 2.49, 3 Rh 2.57
3 Co 0.0000 0.0000 0.1385 [6 per cell]  4 Fe 2.47-2.49, 3 Co 2.60, 1 Rh 2.61
4 Rh 0.0000 0.0000 0.2849 [6 per cell]  7 Fe 2.55-2.65, 1 Co 2.61

***

No. 3
DFT (PBE-GGA) results for a geometry-optimized Sm4Si2Br5 structure.

Computed properties:
Magnetization = 0.00 Bohr magnetons per cell
Calculated volume = 779.9 Å³/cell
Energy = -4.7613 eV per atom

a b c (Å): 23.0454 4.1247 8.2386
angles (deg): 90.00 95.17 90.00
Last column: nearest neighbours and their distance in Å.
Space group C2/m (No. 12)
Inequivalent atoms, fractional coordinates:
1 Sm 0.0146 0.0000 0.2851 [4 per cell]  4 Si 2.99, 3 Br 3.02-3.12
2 Sm 0.1610 0.5000 0.4526 [4 per cell]  1 Si 2.73, 4 Br 2.94-2.97
3 Si 0.0492 0.5000 0.5386 [4 per cell]  1 Si 2.30
4 Br 0.0000 0.5000 0.0000 [2 per cell]  4 Sm 3.12
5 Br 0.1395 0.0000 0.2002 [4 per cell]  3 Sm 2.94-3.02
6 Br 0.2156 0.0000 0.6763 [4 per cell]  3 Sm 2.97-3.12

***

No. 4
DFT (PBE-GGA) results for a geometry-optimized KCeBr6 structure.

Computed properties:
Magnetization = 0.00 Bohr magnetons per cell
Offset from the most stable computed form = 0.61 kcal/mol of atoms
Calculated volume = 691.0 Å³/cell
Energy = -3.4479 eV per atom

a b c (Å): 7.9473 10.3635 8.5847
angles (deg): 90.00 102.22 90.00
Last column: nearest neighbours and their distance in Å.
Space group C2/m (No. 12)
Inequivalent atoms, fractional coordinates:
1 K 0.0000 0.0000 0.0000 [2 per cell]  6 Br 3.32-3.44
2 Ce 0.0000 0.0000 0.5000 [2 per cell]  6 Br 2.80-2.82
3 Br 0.1676 0.1753 0.7288 [8 per cell]  1 Ce 2.80
4 Br 0.2191 0.5000 0.6537 [4 per cell]  1 Ce 2.82

***

No. 5
DFT (PBE-GGA) results for a geometry-optimized RbNaAl2Cl8 structure.

Computed properties:
Magnetization = 0.00 Bohr magnetons per cell
Calculated volume = 1083.3 Å³/cell
Energy = -3.7654 eV per atom

a b c (Å): 6.5815 6.5815 28.8774
angles (deg): 90.00 90.00 120.00
Last column: nearest neighbours and their distance in Å.
Space group R-3 (No. 148, hexagonal axes)
Inequivalent atoms, fractional coordinates:
1 Rb 0.0000 0.0000 0.0000 [3 per cell]  12 Cl 3.78-3.81
2 Na 0.0000 0.0000 0.5000 [3 per cell]  6 Cl 2.91
3 Al 0.0000 0.0000 0.2498 [6 per cell]  4 Cl 2.16
4 Cl 0.0000 0.0000 0.3246 [6 per cell]  1 Al 2.16
5 Cl 0.0137 0.3623 0.4400 [18 per cell]  1 Al 2.16

***

No. 6
DFT (PBE-GGA) results for a geometry-optimized NdGa5Pt3 structure.

Computed properties:
Magnetization = 0.00 Bohr magnetons per cell
Calculated volume = 678.9 Å³/cell
Energy = -4.8977 eV per atom
Energy relative to the elements = -0.673 eV/atom

a b c (Å): 4.0553 13.0965 12.7834
angles (deg): 90.00 90.00 90.00
Last column: nearest neighbours and their distance in Å.
Space group Cmcm (No. 63)
Inequivalent atoms, fractional coordinates:
1 Nd 0.0000 0.1588 0.2500 [4 per cell]  6 Pt 3.30-3.38, 4 Ga 3.64
2 Ga 0.0000 0.0000 0.0000 [4 per cell]  4 Pt 2.58, 2 Ga 2.75
3 Ga 0.0000 0.2007 0.5627 [8 per cell]  4 Pt 2.47-2.77, 1 Ga 2.75
4 Ga 0.0000 0.4406 0.1508 [8 per cell]  1 Ga 2.54, 4 Pt 2.56-2.68
5 Pt 0.0000 0.1352 0.7500 [4 per cell]  6 Ga 2.54-2.59
6 Pt 0.0000 0.3893 0.5522 [8 per cell]  7 Ga 2.47-2.77

***

No. 7
DFT (PBE-GGA) results for a geometry-optimized ZrAlHg structure.

Computed properties:
Magnetization = 0.00 Bohr magnetons per cell
Offset from the most stable computed form = 2.04 kcal/mol of atoms
Calculated volume = 239.4 Å³/cell
Energy = -4.3855 eV per atom
Energy relative to the elements = -0.188 eV/atom

a b c (Å): 4.4303 4.5797 11.8005
angles (deg): 90.00 90.00 90.00
Last column: nearest neighbours and their distance in Å.
Space group Fmm2 (No. 42)
Inequivalent atoms, fractional coordinates:
1 Zr 0.0000 0.0000 0.0000 [4 per cell]  4 Al 2.89-2.95, 4 Hg 3.12-3.17, 4 Zr 3.19
2 Al 0.0000 0.0000 0.6572 [4 per cell]  4 Hg 2.89-2.95, 4 Zr 2.89-2.95, 4 Al 3.19
3 Hg 0.0000 0.0000 0.3144 [4 per cell]  4 Al 2.89-2.95, 4 Zr 3.12-3.17, 4 Hg 3.19

***

No. 8
DFT (PBE-GGA) results for a geometry-optimized Ac5HoIr4 structure.

Computed properties:
Magnetization = 0.00 Bohr magnetons per cell
Offset from the most stable computed form = 0.00 kcal/mol of atoms
Calculated volume = 645.3 Å³/cell
Energy = -6.6281 eV per atom
Energy relative to the elements = -0.572 eV/atom

a b c (Å): 18.5428 4.3375 8.3056
angles (deg): 90.00 105.00 90.00
Last column: nearest neighbours and their distance in Å.
Space group C2/m (No. 12)
Inequivalent atoms, fractional coordinates:
1 Ac 0.0000 0.0000 0.0000 [2 per cell]  4 Ir 3.05
2 Ac 0.1599 0.5000 0.8282 [4 per cell]  3 Ir 2.90
3 Ac 0.1662 0.5000 0.3537 [4 per cell]  4 Ir 2.94-3.02
4 Ho 0.0000 0.0000 0.5000 [2 per cell]  6 Ir 2.96-2.99
5 Ir 0.0019 0.5000 0.2589 [4 per cell]  4 Ac 2.90-3.05, 2 Ho 2.96
6 Ir 0.1670 0.0000 0.6012 [4 per cell]  5 Ac 2.90-3.02, 1 Ho 2.99

***

No. 9
DFT (PBE-GGA) results for a geometry-optimized AlPtRh2 structure.

Computed properties:
Magnetization = 3.61 Bohr magnetons per cell
Calculated volume = 174.8 Å³/cell
Energy = -6.5072 eV per atom
Energy relative to the elements = -0.386 eV/atom

a b c (Å): 2.8077 2.8077 25.6046
angles (deg): 90.00 90.00 120.00
Last column: nearest neighbours and their distance in Å.
Space group R3m (No. 160, hexagonal axes)
Inequivalent atoms, fractional coordinates:
1 Al 0.0000 0.0000 0.0000 [3 per cell]  3 Rh 2.53, 3 Pt 2.60, 6 Al 2.81
2 Pt 0.0000 0.0000 0.7460 [3 per cell]  3 Al 2.60, 6 Pt 2.81, 3 Rh 2.85
3 Rh 0.0000 0.0000 0.2573 [3 per cell]  3 Al 2.53, 9 Rh 2.75-2.81
4 Rh 0.0000 0.0000 0.5041 [3 per cell]  9 Rh 2.75-2.81, 3 Pt 2.85

***

No. 10
DFT (PBE-GGA) results for a geometry-optimized LaY2Er structure.

Computed properties:
Magnetization = 0.00 Bohr magnetons per cell
Offset from the most stable computed form = 2.22 kcal/mol of atoms
Calculated volume = 135.3 Å³/cell
Energy = -5.5021 eV per atom
Energy relative to the elements = 0.103 eV/atom

a b c (Å): 4.0592 4.0592 8.2085
angles (deg): 90.00 90.00 90.00
Last column: nearest neighbours and their distance in Å.
Space group P4/mmm (No. 123)
Inequivalent atoms, fractional coordinates:
1 La 0.0000 0.0000 0.0000 [1 per cell]  8 Y 3.62
2 Y 0.5000 0.5000 0.2692 [2 per cell]  4 Er 3.44, 4 La 3.62, 1 Y 3.79
3 Er 0.0000 0.0000 0.5000 [1 per cell]  8 Y 3.44

***

No. 11
DFT (PBE-GGA) results for a geometry-optimized YCd2BiO6 structure.

Computed properties:
Magnetization = 0.00 Bohr magnetons per cell
Calculated volume = 436.0 Å³/cell
Energy = -5.8104 eV per atom

a b c (Å): 5.7654 5.7654 15.1469
angles (deg): 90.00 90.00 120.00
Last column: nearest neighbours and their distance in Å.
Space group R3 (No. 146, hexagonal axes)
Inequivalent atoms, fractional coordinates:
1 Y 0.0000 0.0000 0.0000 [3 per cell]  6 O 2.24-2.34
2 Cd 0.0000 0.0000 0.2764 [3 per cell]  6 O 2.27-2.54
3 Cd 0.0000 0.0000 0.7803 [3 per cell]  6 O 2.25-2.52
4 Bi 0.0000 0.0000 0.4943 [3 per cell]  6 O 2.14-2.17
5 O 0.0473 0.3423 0.5652 [9 per cell]  1 Bi 2.14, 1 Cd 2.27, 1 Y 2.34
6 O 0.0555 0.6883 0.0693 [9 per cell]  1 Bi 2.17, 1 Y 2.24, 1 Cd 2.25

***

No. 12
DFT (PBE-GGA) results for a geometry-optimized CePm2Ag2Pb2 structure.

Computed properties:
Magnetization = 4.00 Bohr magnetons per cell
Calculated volume = 580.9 Å³/cell
Energy = -4.3325 eV per atom
Energy relative to the elements = -0.253 eV/atom

a b c (Å): 5.0143 5.0143 26.6777
angles (deg): 90.00 90.00 120.00
Last column: nearest neighbours and their distance in Å.
Space group R-3m (No. 166, hexagonal axes)
Inequivalent atoms, fractional coordinates:
1 Ce 0.0000 0.0000 0.0000 [3 per cell]  6 Pb 3.39, 2 Pm 3.59
2 Pm 0.0000 0.0000 0.1347 [6 per cell]  3 Ag 2.99
3 Ag 0.0000 0.0000 0.4396 [6 per cell]  3 Pm 2.99, 3 Pb 3.08, 1 Ag 3.22
4 Pb 0.0000 0.0000 0.2669 [6 per cell]  3 Ag 3.08, 3 Ce 3.39, 3 Pm 3.42